Material: AgWO5
Method: DFT, PBE+U
State: optimized geometry Values from VASP.

Properties
Space group = Immm
Total DFT energy (no corrections) = -40.469 eV per cell
ρ = 6.2 Mg/m³
Crystal system = orthorhombic

Geometry as Quantum ESPRESSO input:
```
&SYSTEM
  ibrav = 0, nat = 7, ntyp = 3
/
ATOMIC_SPECIES
Ag 107.87 Ag.upf
W 183.84 W.upf
O 16.00 O.upf
CELL_PARAMETERS angstrom
3.843 0.000 0.000
1.922 5.120 -0.051
1.922 0.865 5.046
ATOMIC_POSITIONS crystal
Ag 0.000 0.000 0.000
W 0.500 0.500 0.500
O 0.500 0.206 0.794
O 0.500 0.794 0.206
O 0.743 0.257 0.257
O 0.257 0.743 0.743
O 0.000 0.500 0.500
```